Entry 1:
! Pr8Ga3RuBr4, optimized geometry, DFT PBE; values from VASP
! Total magnetization: 0.00 μB/f.u.
! Formation energy without anion corrections: -0.861 eV per atom
! Space-group type: R-3m
&SYSTEM
  ibrav = 0, nat = 16, ntyp = 4
/
ATOMIC_SPECIES
Pr 140.91 Pr.upf
Ga 69.72 Ga.upf
Ru 101.07 Ru.upf
Br 79.90 Br.upf
CELL_PARAMETERS angstrom
-4.237 -5.514 -5.077
-2.152 -4.953 7.174
-2.087 8.358 -0.034
ATOMIC_POSITIONS crystal
Pr 0.228 0.711 0.983
Pr 0.228 0.711 0.456
Pr 0.255 0.266 0.511
Pr 0.755 0.711 0.983
Pr 0.245 0.289 0.017
Pr 0.745 0.734 0.489
Pr 0.772 0.289 0.544
Pr 0.772 0.289 0.017
Ga 0.500 0.500 0.000
Ga 0.500 0.500 0.500
Ga 0.000 0.500 0.500
Ru 0.000 0.500 0.000
Br 0.500 0.000 0.000
Br 0.500 0.000 0.500
Br 0.000 0.000 0.000
Br 0.000 0.000 0.500

---

Entry 2:
! BeIn2Cl, optimized geometry, DFT PBE; values from VASP
! Total magnetization: 0.00 μB/f.u.
! Formation energy without anion corrections: 0.265 eV per atom
! Space-group type: I-4m2
! Energy relative to the lowest polymorph listed for this composition: 150 kJ/mol of formula units
&SYSTEM
  ibrav = 0, nat = 4, ntyp = 3
/
ATOMIC_SPECIES
Be 9.01 Be.upf
Cl 35.45 Cl.upf
In 114.82 In.upf
CELL_PARAMETERS angstrom
6.465 -0.029 0.000
3.840 5.201 0.000
-5.153 -2.586 2.926
ATOMIC_POSITIONS crystal
Be 0.500 0.500 0.000
Cl 0.750 0.250 0.500
In 0.000 0.000 0.000
In 0.250 0.750 0.500

---

Entry 3:
! BaSrSe2N, optimized geometry, DFT PBE; values from VASP
! Total magnetization: 1.42 μB/f.u.
! Formation energy without anion corrections: -0.096 eV per atom
! Space-group type: P4/mmm
! Energy relative to the lowest polymorph listed for this composition: 165 kJ/mol of formula units
&SYSTEM
  ibrav = 0, nat = 5, ntyp = 4
/
ATOMIC_SPECIES
Sr 87.62 Sr.upf
Ba 137.33 Ba.upf
Se 78.96 Se.upf
N 14.01 N.upf
CELL_PARAMETERS angstrom
6.007 0.000 0.000
0.000 6.007 0.000
0.000 0.000 4.747
ATOMIC_POSITIONS crystal
Sr 0.500 0.500 0.500
Ba 0.000 0.000 0.000
Se 0.000 0.500 0.000
Se 0.500 0.000 0.000
N 0.000 0.000 0.500

---

In order of appearance, total energy = -4.816 -2.497 -3.876 eV/atom.